Entry from Alexandria via LeMat-Bulk: a geometry-optimized TiBiH structure (PBE).

Output
- Total energy: -5.2161 eV/atom
- Total magnetization: 0.0 μB/cell

abc: 4.042 3.617 3.617
angles: 120.00 90.00 90.00
Element x y z (fractional)
H  0.167  0.000  0.000
Bi  0.667  0.667  0.333
Ti  0.167  0.333  0.667